1.
TbSn3 | Alexandria | PBE-GGA | relaxed; theoretical density = 8.1 g/cm3; magnetic moment = 0.0 Bohr magnetons per cell; space-group type = No. 123; formation energy = -436 meV/atom
1.0
-3.1102 0.7494 3.4605
0.0269 -4.6209 1.0248
3.5435 0.6937 3.0346
Tb Sn
1 3
direct
0.0000 0.0000 0.9166 Tb
0.0000 0.5000 0.4167 Sn
0.5000 0.0000 0.4166 Sn
0.5000 0.5000 0.9167 Sn



2.
Ag3Cl | Alexandria | PBE-GGA | relaxed; ΔE to the lowest computed polymorph = 237 meV per atom; theoretical density = 7.7 g/cm3; magnetic moment = 0.0 Bohr magnetons per cell; space-group type = No. 166
1.0
-2.6408 -2.9531 -3.8737
0.7462 -2.4367 4.9199
-0.9214 5.4635 0.0341
Ag Cl
3 1
direct
0.0000 0.0000 0.0000 Ag
0.5000 0.5000 0.0000 Ag
0.0000 0.5000 0.5000 Ag
0.5000 0.0000 0.5000 Cl



3.
CePrLu | Alexandria | PBE-GGA | relaxed; ΔE to the lowest computed polymorph = 4 meV per atom; theoretical density = 8.1 g/cm3; magnetic moment = 0.3 Bohr magnetons per cell; space-group type = No. 107; formation energy = 85 meV/atom
1.0
-0.8114 -2.8528 1.9617
-0.3829 -1.9285 -2.9630
7.7915 0.5355 0.7786
Pr Lu Ce
1 1 1
direct
0.9956 0.9956 0.9912 Pr
0.6742 0.6742 0.3484 Lu
0.3302 0.3302 0.6604 Ce



4.
ZnGa2Pb | Alexandria | PBE-GGA | relaxed; ΔE to the lowest computed polymorph = 86 meV per atom; theoretical density = 7.7 g/cm3; magnetic moment = 0.0 Bohr magnetons per cell; space-group type = No. 225; formation energy = 170 meV/atom
1.0
4.7060 -0.4547 -1.6672
2.9366 -3.6662 1.7516
1.2482 -3.8446 -2.9655
Pb Zn Ga
1 1 2
direct
0.5000 0.5000 0.5000 Pb
0.0000 0.0000 0.0000 Zn
0.2500 0.2500 0.2500 Ga
0.7500 0.7500 0.7500 Ga



5.
K3Tl3HgI8 | Alexandria | PBE-GGA | relaxed; theoretical density = 4.6 g/cm3; magnetic moment = 0.0 Bohr magnetons per cell; space-group type = No. 166; calculated total energy = -2.432 eV per atom
1.0
10.0093 -0.0004 -0.0001
-5.0050 8.6704 -0.0286
0.0002 -5.7503 8.1717
K Tl Hg I
3 3 1 8
direct
0.5000 0.0000 0.5000 K
0.5000 0.5000 0.5000 K
0.0000 0.5000 0.5000 K
0.0000 0.0000 0.0000 Tl
0.0000 0.5000 0.0000 Tl
0.5000 0.5000 0.0000 Tl
0.0000 0.0000 0.5000 Hg
0.2505 0.5009 0.2514 I
0.7495 0.4991 0.7486 I
0.7800 0.5600 0.2787 I
0.2200 0.4400 0.7213 I
0.7799 0.9988 0.2787 I
0.2201 0.0012 0.7213 I
0.2189 0.9988 0.2787 I
0.7811 0.0012 0.7213 I



6.
Dy4Er3ScS8 | Alexandria | PBE-GGA | relaxed; theoretical density = 7.4 g/cm3; magnetic moment = 0.0 Bohr magnetons per cell; space-group type = No. 166; calculated total energy = -6.419 eV per atom
1.0
-7.3137 -1.8280 1.6841
2.4216 -6.4667 3.4974
2.8623 6.8460 2.1463
Dy Er Sc S
4 3 1 8
direct
0.5000 0.0000 0.0000 Dy
0.5000 0.0000 0.5000 Dy
0.0000 0.0000 0.0000 Dy
0.0000 0.0000 0.5000 Dy
0.5000 0.5000 0.0000 Er
0.5000 0.5000 0.5000 Er
0.0000 0.5000 0.5000 Er
0.0000 0.5000 0.0000 Sc
0.2446 0.7418 0.9973 S
0.2446 0.7418 0.4892 S
0.2514 0.2542 0.5028 S
0.7527 0.7418 0.9973 S
0.2473 0.2582 0.0027 S
0.7486 0.7458 0.4972 S
0.7554 0.2582 0.5108 S
0.7554 0.2582 0.0027 S